Record 1
The following is a DFT calculation (PBE-GGA) of a relaxed SbPbW2 crystal.

Cell and atoms, written as POSCAR:
```
SbPbW2
1.0
5.568 -0.006 0.023
2.080 5.165 -0.023
-3.073 -3.693 2.815
W Sb Pb
2 1 1
direct
0.488 0.488 0.000
0.012 0.012 0.000
0.250 0.750 0.500
0.750 0.250 0.500
```

Size of the total moment ... 0.00 Bohr magnetons per cell
Distance to the lowest polymorph of the same formula ... 0.775 eV per atom
ΔE_f (raw) ... 4.61 eV per formula unit
SG ... No. 71

Record 2
The following is a DFT calculation (PBE-GGA) of a relaxed Ca3Sm4HoSe8 crystal.

Cell and atoms, written as POSCAR:
```
Ca3Sm4HoSe8
1.0
-1.149 -7.402 3.534
-1.053 -3.443 -7.554
6.872 4.333 1.606
Sm Se Ca Ho
4 8 3 1
direct
0.500 0.000 0.500
0.000 0.000 0.500
0.000 0.000 0.000
0.500 0.000 0.000
0.749 0.747 0.498
0.246 0.743 0.997
0.250 0.257 0.003
0.754 0.257 0.507
0.251 0.253 0.502
0.246 0.743 0.493
0.754 0.257 0.003
0.750 0.743 0.997
0.500 0.500 0.500
0.500 0.500 0.000
0.000 0.500 0.500
0.000 0.500 0.000
```

Size of the total moment ... 0.00 Bohr magnetons per cell
ΔE_f (raw) ... -29.83 eV per formula unit
SG ... No. 166

Record 3
The following is a DFT calculation (PBE-GGA) of a relaxed La2SmEr6 crystal.

Cell and atoms, written as POSCAR:
```
La2SmEr6
1.0
1.028 -0.045 10.171
2.965 8.712 4.452
-5.846 -6.932 -4.721
Er Sm La
6 1 2
direct
0.020 0.834 0.186
0.307 0.500 0.807
0.353 0.166 0.186
0.693 0.500 0.193
0.647 0.834 0.814
0.980 0.166 0.814
0.000 0.000 0.000
0.666 0.666 0.000
0.334 0.334 0.000
```

Size of the total moment ... 0.00 Bohr magnetons per cell
Distance to the lowest polymorph of the same formula ... 0.164 eV per atom
Formation energy from the elements ... 200 meV/atom
SG ... No. 71

Number 1: E -29.13 eV per formula unit. Number 2: E -87.17 eV per formula unit. Number 3: E -40.15 eV per formula unit.